1.
Computed, not measured: crystalline CsNd2PdO5 at its relaxed geometry at the GGA-PBE level of DFT.

a = 6.9091 Å, b = 6.9091 Å, c = 7.8493 Å
α = 116.11°, β = 116.11°, γ = 90.00°
Closest atoms and distances in Å follow each position.
Sites, in units of the cell vectors:
Nd: 0.8252 0.6748 0.0000  8 O 2.40-2.56
O: 0.0000 0.0000 0.0000  4 Nd 2.55
O: 0.0110 0.5110 0.7665  1 Pd 2.06
Nd: 0.1748 0.3252 0.0000  8 O 2.40-2.56
O: 0.7445 0.9890 0.2335  1 Pd 2.06
Nd: 0.6748 0.1748 0.0000  8 O 2.40-2.56
O: 0.2555 0.0110 0.7665  1 Pd 2.06
O: 0.5110 0.7555 0.7665  1 Pd 2.06
Pd: 0.2500 0.7500 0.5000  4 O 2.06
O: 0.7555 0.2555 0.7665  1 Pd 2.06
Pd: 0.7500 0.2500 0.5000  4 O 2.06
Nd: 0.3252 0.8252 0.0000  8 O 2.40-2.56
O: 0.9890 0.4890 0.2335  1 Pd 2.06
Cs: 0.7500 0.7500 0.5000  10 O 3.07-3.17
Cs: 0.2500 0.2500 0.5000  10 O 3.07-3.17
O: 0.2445 0.7445 0.2335  1 Pd 2.06
O: 0.5000 0.5000 0.0000  4 Nd 2.55
O: 0.4890 0.2445 0.2335  1 Pd 2.06

Summary:
formation energy (no corrections): -2.0346 eV/atom
space-group type: I4/mcm, No. 140

---

2.
Computed, not measured: crystalline PaCuSbAu at its relaxed geometry at the GGA-PBE level of DFT.

a = 4.9101 Å, b = 4.9101 Å, c = 4.9101 Å
α = 60.00°, β = 60.00°, γ = 60.00°
Closest atoms and distances in Å follow each position.
Sites, in units of the cell vectors:
Au: 0.7500 0.7500 0.7500  4 Pa 3.01, 4 Sb 3.01
Cu: 0.2500 0.2500 0.2500  4 Sb 3.01, 4 Pa 3.01
Pa: 0.5000 0.5000 0.5000  4 Cu 3.01, 4 Au 3.01
Sb: 0.0000 0.0000 0.0000  4 Au 3.01, 4 Cu 3.01

Summary:
formation energy (no corrections): -0.1795 eV/atom
space-group type: F-43m, No. 216

---

3.
Computed, not measured: crystalline Rb2HgPSe4 at its relaxed geometry at the GGA-PBE level of DFT.

a = 8.3830 Å, b = 8.3829 Å, c = 10.7487 Å
α = 121.15°, β = 121.15°, γ = 94.05°
Closest atoms and distances in Å follow each position.
Sites, in units of the cell vectors:
P: 0.0000 0.0000 0.0000  6 Se 2.58-2.75
Se: 0.8232 0.8097 0.6486  2 P 2.58-2.62
Rb: 0.5000 0.5000 0.0000  4 Se 3.44-3.47
Rb: 0.5000 0.0000 0.5000  6 Se 3.24-3.41
Se: 0.2133 0.7699 0.0320  1 Hg 2.53, 1 P 2.75
Se: 0.7867 0.2301 0.9680  1 Hg 2.53, 1 P 2.75
Se: 0.7301 0.2867 0.4680  1 Hg 2.53, 1 P 2.75
Hg: 0.0000 0.5000 0.5000  2 Se 2.53
Se: 0.6903 0.6768 0.8514  2 P 2.58-2.62
Rb: 0.5000 0.0000 0.0000  6 Se 3.24-3.41
Se: 0.3097 0.3232 0.1486  2 P 2.58-2.62
P: 0.5000 0.5000 0.5000  6 Se 2.58-2.75
Rb: 0.0000 0.0000 0.5000  4 Se 3.44-3.47
Hg: 0.0000 0.5000 0.0000  2 Se 2.53
Se: 0.2699 0.7133 0.5320  1 Hg 2.53, 1 P 2.75
Se: 0.1768 0.1903 0.3514  2 P 2.58-2.62

Summary:
formation energy (no corrections): -0.2995 eV/atom
space-group type: C2/c, No. 15

---

4.
Computed, not measured: crystalline LiNi2B4 at its relaxed geometry at the GGA-PBE level of DFT.

a = 2.9583 Å, b = 3.0144 Å, c = 6.6068 Å
α = 103.19°, β = 102.94°, γ = 90.00°
Closest atoms and distances in Å follow each position.
Sites, in units of the cell vectors:
Ni: 0.1889 0.1889 0.3779  7 B 2.10-2.19
B: 0.6435 0.6435 0.2870  2 B 1.75
Ni: 0.8111 0.8111 0.6221  7 B 2.10-2.19
Li: 0.5000 0.0000 0.0000  12 B 2.28-2.35
B: 0.0695 0.5695 0.1391  3 B 1.74-1.75
B: 0.3565 0.3565 0.7130  2 B 1.75
B: 0.9305 0.4305 0.8609  3 B 1.74-1.75

Summary:
formation enthalpy at 0 K: -0.178 eV/atom
space-group type: Immm, No. 71

---

5.
Computed, not measured: crystalline TlMo2Pt at its relaxed geometry at the GGA-PBE level of DFT.

a = 4.6211 Å, b = 4.6211 Å, c = 4.6211 Å
α = 60.00°, β = 60.00°, γ = 60.00°
Closest atoms and distances in Å follow each position.
Sites, in units of the cell vectors:
Mo: 0.0000 0.0000 0.0000  4 Mo 2.83, 4 Tl 2.83
Tl: 0.7500 0.7500 0.7500  4 Mo 2.83, 4 Pt 2.83
Mo: 0.2500 0.2500 0.2500  4 Mo 2.83, 4 Pt 2.83
Pt: 0.5000 0.5000 0.5000  4 Tl 2.83, 4 Mo 2.83

Summary:
E above lowest polymorph: 236.4 meV/atom
formation enthalpy at 0 K: 0.500 eV/atom
space-group type: F-43m, No. 216

---

6.
Computed, not measured: crystalline CaIn2PbCl6 at its relaxed geometry at the GGA-PBE level of DFT.

a = 7.6931 Å, b = 7.6923 Å, c = 7.8110 Å
α = 60.48°, β = 60.48°, γ = 59.98°
Closest atoms and distances in Å follow each position.
Sites, in units of the cell vectors:
In: 0.0323 0.0325 0.9024  6 Cl 3.21-3.31
Cl: 0.4884 0.6616 0.7617  1 Ca 2.75, 1 Pb 2.93
Cl: 0.9654 0.6051 0.2732  1 Ca 2.78, 1 Pb 2.90
Cl: 0.6049 0.1562 0.2733  1 Ca 2.78, 1 Pb 2.90
Ca: 0.8177 0.8176 0.5471  6 Cl 2.75-2.78
Cl: 0.0884 0.4883 0.7616  1 Ca 2.75, 1 Pb 2.93
Cl: 0.6617 0.0881 0.7618  1 Ca 2.75, 1 Pb 2.93
Pb: 0.3161 0.3160 0.0519  6 Cl 2.90-2.93
Cl: 0.1561 0.9655 0.2732  1 Ca 2.78, 1 Pb 2.90
In: 0.5304 0.5305 0.4090  6 Cl 3.20-3.24

Summary:
formation energy (no corrections): -1.3856 eV/atom
space-group type: R3, No. 146

---

7.
Computed, not measured: crystalline Pu4Pd2Pb at its relaxed geometry at the GGA-PBE level of DFT.

a = 5.0098 Å, b = 5.0098 Å, c = 7.8502 Å
α = 71.39°, β = 71.39°, γ = 60.00°
Closest atoms and distances in Å follow each position.
Sites, in units of the cell vectors:
Pd: 0.8590 0.8590 0.4229  4 Pu 2.83-3.03, 1 Pb 3.09, 3 Pd 3.10
Pd: 0.1410 0.1410 0.5771  4 Pu 2.83-3.03, 1 Pb 3.09, 3 Pd 3.10
Pu: 0.4329 0.4329 0.7013  4 Pu 2.94-3.00, 3 Pd 3.03
Pb: 0.0000 0.0000 0.0000  2 Pd 3.09, 6 Pu 3.21
Pu: 0.7298 0.7298 0.8107  1 Pd 2.83, 3 Pu 3.00
Pu: 0.2702 0.2702 0.1893  1 Pd 2.83, 3 Pu 3.00
Pu: 0.5671 0.5671 0.2987  4 Pu 2.94-3.00, 3 Pd 3.03

Summary:
formation enthalpy at 0 K: -0.216 eV/atom
space-group type: R-3m, No. 166

---

8.
Computed, not measured: crystalline Pm6NdTm12 at its relaxed geometry at the GGA-PBE level of DFT.

a = 8.5893 Å, b = 8.5893 Å, c = 8.5893 Å
α = 79.71°, β = 79.71°, γ = 79.71°
Closest atoms and distances in Å follow each position.
Sites, in units of the cell vectors:
Pm: 0.7689 0.7689 0.1651  1 Nd 3.05, 3 Tm 3.30-3.35
Nd: 0.0000 0.0000 0.0000  6 Pm 3.05
Tm: 0.4849 0.4849 0.8039  3 Pm 3.30-3.35, 5 Tm 3.44-3.51
Tm: 0.4805 0.1378 0.1377  7 Tm 3.44-3.77, 5 Pm 3.54-3.66
Tm: 0.5195 0.8622 0.8623  7 Tm 3.44-3.77, 5 Pm 3.54-3.66
Pm: 0.7689 0.1651 0.7689  1 Nd 3.05, 3 Tm 3.30-3.35
Tm: 0.1377 0.4805 0.1378  7 Tm 3.44-3.77, 5 Pm 3.54-3.66
Pm: 0.2311 0.2311 0.8349  1 Nd 3.05, 3 Tm 3.30-3.35
Pm: 0.8349 0.2311 0.2311  1 Nd 3.05, 3 Tm 3.30-3.35
Tm: 0.5151 0.5151 0.1961  3 Pm 3.30-3.35, 5 Tm 3.44-3.51
Tm: 0.1961 0.5151 0.5151  3 Pm 3.30-3.35, 5 Tm 3.44-3.51
Pm: 0.1651 0.7689 0.7689  1 Nd 3.05, 3 Tm 3.30-3.35
Tm: 0.4849 0.8039 0.4849  3 Pm 3.30-3.35, 5 Tm 3.44-3.51
Tm: 0.5151 0.1961 0.5151  3 Pm 3.30-3.35, 5 Tm 3.44-3.51
Pm: 0.2311 0.8349 0.2311  1 Nd 3.05, 3 Tm 3.30-3.35
Tm: 0.8039 0.4849 0.4849  3 Pm 3.30-3.35, 5 Tm 3.44-3.51
Tm: 0.1378 0.1377 0.4805  7 Tm 3.44-3.77, 5 Pm 3.54-3.66
Tm: 0.8623 0.5195 0.8622  7 Tm 3.44-3.77, 5 Pm 3.54-3.66
Tm: 0.8622 0.8623 0.5195  7 Tm 3.44-3.77, 5 Pm 3.54-3.66

Summary:
E above lowest polymorph: 0.0 meV/atom
formation enthalpy at 0 K: 0.117 eV/atom
space-group type: R-3m, No. 166

---

9.
Computed, not measured: crystalline NiPt2Pb at its relaxed geometry at the GGA-PBE level of DFT.

a = 9.2356 Å, b = 9.2356 Å, c = 9.2356 Å
α = 18.68°, β = 18.68°, γ = 18.68°
Closest atoms and distances in Å follow each position.
Sites, in units of the cell vectors:
Pb: 0.7500 0.7500 0.7500  6 Pb 3.00, 6 Pt 3.13
Ni: 0.2500 0.2500 0.2500  6 Pt 2.59
Pt: 0.5125 0.5125 0.5125  3 Ni 2.59
Pt: 0.9875 0.9875 0.9875  3 Ni 2.59

Summary:
formation enthalpy at 0 K: 0.227 eV/atom
space-group type: R-3m, No. 166

---

10.
Computed, not measured: crystalline PrDyIr2 at its relaxed geometry at the GGA-PBE level of DFT.

a = 3.4204 Å, b = 3.4204 Å, c = 7.3222 Å
α = 90.00°, β = 90.00°, γ = 90.00°
Closest atoms and distances in Å follow each position.
Sites, in units of the cell vectors:
Dy: 0.5000 0.5000 0.0000  8 Ir 2.96
Ir: 0.0000 0.0000 0.7658  4 Dy 2.96, 4 Pr 3.10
Pr: 0.5000 0.5000 0.5000  8 Ir 3.10, 4 Pr 3.42
Ir: 0.0000 0.0000 0.2342  4 Dy 2.96, 4 Pr 3.10

Summary:
E above lowest polymorph: 0.0 meV/atom
formation enthalpy at 0 K: -0.628 eV/atom
space-group type: P4/mmm, No. 123

---

11.
Computed, not measured: crystalline BaThBN3 at its relaxed geometry at the GGA-PBE level of DFT.

a = 5.8087 Å, b = 5.8087 Å, c = 6.5220 Å
α = 90.00°, β = 90.00°, γ = 120.00°
Closest atoms and distances in Å follow each position.
Sites, in units of the cell vectors:
Th: 0.0000 0.0000 0.0000  6 N 2.47
N: 0.1842 0.8158 0.2500  1 B 1.50
N: 0.8158 0.6316 0.7500  1 B 1.50
Th: 0.0000 0.0000 0.5000  6 N 2.47
B: 0.3333 0.6667 0.2500  3 N 1.50
N: 0.3684 0.1842 0.7500  1 B 1.50
Ba: 0.3333 0.6667 0.7500  6 N 2.91
B: 0.6667 0.3333 0.7500  3 N 1.50
N: 0.8158 0.1842 0.7500  1 B 1.50
N: 0.6316 0.8158 0.2500  1 B 1.50
N: 0.1842 0.3684 0.2500  1 B 1.50
Ba: 0.6667 0.3333 0.2500  6 N 2.91

Summary:
formation energy (no corrections): -1.1625 eV/atom
space-group type: P6_3/mmc, No. 194

---

12.
Computed, not measured: crystalline BeReTc2 at its relaxed geometry at the GGA-PBE level of DFT.

a = 4.5599 Å, b = 4.5599 Å, c = 4.6182 Å
α = 82.09°, β = 82.09°, γ = 35.00°
Closest atoms and distances in Å follow each position.
Sites, in units of the cell vectors:
Re: 0.2500 0.2500 0.2500  6 Tc 2.62-2.72, 4 Be 2.69, 2 Re 2.74
Be: 0.7500 0.7500 0.7500  6 Tc 2.59-2.65, 4 Re 2.69, 2 Be 2.74
Tc: 0.0027 0.0027 0.9868  6 Tc 2.59-2.79, 3 Be 2.59-2.65, 3 Re 2.62-2.72
Tc: 0.4973 0.4973 0.5132  6 Tc 2.59-2.79, 3 Be 2.59-2.65, 3 Re 2.62-2.72

Summary:
formation enthalpy at 0 K: 0.144 eV/atom
space-group type: C2/m, No. 12

---

For the records above, the corresponding total magnetic moment values read 2.08; 0.00; 0.00; 0.00; 0.82; 0.00; 22.33; 0.00; 1.32; 0.00; 0.00; 0.00 Bohr magnetons per cell.